#P
{
  "formula": "HfGa2Tc2",
  "functional": "GGA-PBE",
  "state": "relaxed",
  "sg": "P4/mbm",
  "cell": [[7.0334, 0.0000, 0.0000], [0.0000, 7.0334, 0.0000], [0.0000, 0.0000, 3.2006]],
  "species": ["Hf", "Hf", "Ga", "Ga", "Ga", "Ga", "Tc", "Tc", "Tc", "Tc"],
  "frac_coords": [[0.0000, 0.0000, 0.0000], [0.5000, 0.5000, 0.0000], [0.1280, 0.3720, 0.0000], [0.3720, 0.8720, 0.0000], [0.6280, 0.1280, 0.0000], [0.8720, 0.6280, 0.0000], [0.1689, 0.6689, 0.5000], [0.3311, 0.1689, 0.5000], [0.6689, 0.8311, 0.5000], [0.8311, 0.3311, 0.5000]]
}

#Q
{
  "formula": "HfGa2Tc2",
  "functional": "GGA-PBE",
  "state": "relaxed",
  "sg": "P4/mbm",
  "cell": [[7.1702, 0.0000, 0.0000], [0.0000, 7.1702, 0.0000], [0.0000, 0.0000, 3.1564]],
  "species": ["Hf", "Hf", "Ga", "Ga", "Ga", "Ga", "Tc", "Tc", "Tc", "Tc"],
  "frac_coords": [[0.0000, 0.0000, 0.0000], [0.5000, 0.5000, 0.0000], [0.1545, 0.3455, 0.5000], [0.3455, 0.8455, 0.5000], [0.6545, 0.1545, 0.5000], [0.8455, 0.6545, 0.5000], [0.1402, 0.6402, 0.0000], [0.3598, 0.1402, 0.0000], [0.6402, 0.8598, 0.0000], [0.8598, 0.3598, 0.0000]]
}

Which structure wins on stability? #P wins.

#P
{
  "formula": "Hf2Ga4Tc",
  "functional": "GGA-PBE",
  "state": "relaxed",
  "sg": "Fmm2",
  "cell": [[0.0000, 3.9237, 4.1430], [3.9044, 0.0000, 4.1430], [3.9044, 3.9237, 0.0000]],
  "species": ["Hf", "Hf", "Ga", "Ga", "Ga", "Ga", "Tc"],
  "frac_coords": [[0.0000, 0.0000, 0.5000], [0.5000, 0.5000, 0.0000], [0.0007, 0.4991, 0.5009], [0.4991, 0.0007, 0.9993], [0.5011, 0.9993, 0.4989], [0.9993, 0.5011, 0.0007], [0.5000, 0.5000, 0.5000]]
}

#Q
{
  "formula": "Hf2Ga4Tc",
  "functional": "GGA-PBE",
  "state": "relaxed",
  "sg": "I4/mmm",
  "cell": [[-2.3568, 2.3568, 6.7268], [2.3568, -2.3568, 6.7268], [2.3568, 2.3568, -6.7268]],
  "species": ["Hf", "Hf", "Ga", "Ga", "Ga", "Ga", "Tc"],
  "frac_coords": [[0.1136, 0.1136, 0.0000], [0.8864, 0.8864, 0.0000], [0.0000, 0.5000, 0.5000], [0.3136, 0.3136, 0.0000], [0.5000, 0.0000, 0.5000], [0.6864, 0.6864, 0.0000], [0.5000, 0.5000, 0.0000]]
}

Which structure wins on stability? #P wins.

#P
{
  "formula": "Hf3Ga3Tc",
  "functional": "GGA-PBE",
  "state": "relaxed",
  "sg": "C2/m",
  "cell": [[3.4286, -4.4254, 0.0000], [3.4286, 4.4254, 0.0000], [-0.1783, 0.0000, 8.5057]],
  "species": ["Hf", "Hf", "Hf", "Hf", "Hf", "Hf", "Ga", "Ga", "Ga", "Ga", "Ga", "Ga", "Tc", "Tc"],
  "frac_coords": [[0.1847, 0.8153, 0.0000], [0.2551, 0.7449, 0.5000], [0.4256, 0.4256, 0.1914], [0.5744, 0.5744, 0.8086], [0.7449, 0.2551, 0.5000], [0.8153, 0.1847, 0.0000], [0.0236, 0.0236, 0.2725], [0.0519, 0.4697, 0.7570], [0.4697, 0.0519, 0.7570], [0.5303, 0.9481, 0.2430], [0.9481, 0.5303, 0.2430], [0.9764, 0.9764, 0.7275], [0.2659, 0.2659, 0.5117], [0.7341, 0.7341, 0.4883]]
}

#Q
{
  "formula": "Hf3Ga3Tc",
  "functional": "GGA-PBE",
  "state": "relaxed",
  "sg": "Cmcm",
  "cell": [[1.7178, -5.2405, 0.0000], [1.7178, 5.2405, 0.0000], [0.0000, 0.0000, 13.9611]],
  "species": ["Hf", "Hf", "Hf", "Hf", "Hf", "Hf", "Ga", "Ga", "Ga", "Ga", "Ga", "Ga", "Tc", "Tc"],
  "frac_coords": [[0.0119, 0.9881, 0.7500], [0.3251, 0.6749, 0.5908], [0.3251, 0.6749, 0.9092], [0.6749, 0.3251, 0.0908], [0.6749, 0.3251, 0.4092], [0.9881, 0.0119, 0.2500], [0.2486, 0.7514, 0.2500], [0.3949, 0.6051, 0.1081], [0.3949, 0.6051, 0.3919], [0.6051, 0.3949, 0.6081], [0.6051, 0.3949, 0.8919], [0.7514, 0.2486, 0.7500], [0.0000, 0.0000, 0.0000], [0.0000, 0.0000, 0.5000]]
}

Which structure wins on stability? #Q wins.

#P
{
  "formula": "HfTiGaTc",
  "functional": "GGA-PBE",
  "state": "relaxed",
  "sg": "P4mm",
  "cell": [[3.2590, 0.0000, 0.0000], [0.0000, 3.2590, 0.0000], [0.0000, 0.0000, 6.2957]],
  "species": ["Hf", "Ti", "Ga", "Tc"],
  "frac_coords": [[0.0000, 0.0000, 0.0000], [0.0000, 0.0000, 0.4782], [0.5000, 0.5000, 0.7176], [0.5000, 0.5000, 0.2535]]
}

#Q
{
  "formula": "HfTiGaTc",
  "functional": "GGA-PBE",
  "state": "relaxed",
  "sg": "F-43m",
  "cell": [[0.0000, 3.2236, 3.2236], [3.2236, 0.0000, 3.2236], [3.2236, 3.2236, 0.0000]],
  "species": ["Hf", "Ti", "Ga", "Tc"],
  "frac_coords": [[0.0000, 0.0000, 0.0000], [0.5000, 0.5000, 0.5000], [0.2500, 0.2500, 0.2500], [0.7500, 0.7500, 0.7500]]
}

Which structure wins on stability? #P wins.

#P
{
  "formula": "HfGaTe3",
  "functional": "GGA-PBE",
  "state": "relaxed",
  "sg": "Ama2",
  "cell": [[10.7680, 0.0000, 0.0000], [0.0000, 4.2003, 3.5963], [0.0000, -4.2003, 3.5963]],
  "species": ["Hf", "Hf", "Ga", "Ga", "Te", "Te", "Te", "Te", "Te", "Te"],
  "frac_coords": [[0.0000, 0.0000, 0.0000], [0.5000, 0.0000, 0.0000], [0.2500, 0.2919, 0.8207], [0.7500, 0.8207, 0.2919], [0.0538, 0.1005, 0.5240], [0.2500, 0.7947, 0.9830], [0.4462, 0.1005, 0.5240], [0.5538, 0.5240, 0.1005], [0.7500, 0.9830, 0.7947], [0.9462, 0.5240, 0.1005]]
}

#Q
{
  "formula": "HfGaTe3",
  "functional": "GGA-PBE",
  "state": "relaxed",
  "sg": "Pm-3m",
  "cell": [[5.2491, 0.0000, 0.0000], [0.0000, 5.2491, 0.0000], [0.0000, 0.0000, 5.2491]],
  "species": ["Hf", "Ga", "Te", "Te", "Te"],
  "frac_coords": [[0.0000, 0.0000, 0.0000], [0.5000, 0.5000, 0.5000], [0.0000, 0.5000, 0.5000], [0.5000, 0.0000, 0.5000], [0.5000, 0.5000, 0.0000]]
}

Which structure wins on stability? #P wins.

#P
{
  "formula": "HfGa3Te",
  "functional": "GGA-PBE",
  "state": "relaxed",
  "sg": "Pm-3m",
  "cell": [[5.3008, 0.0000, 0.0000], [0.0000, 5.3008, 0.0000], [0.0000, 0.0000, 5.3008]],
  "species": ["Hf", "Ga", "Ga", "Ga", "Te"],
  "frac_coords": [[0.0000, 0.0000, 0.0000], [0.0000, 0.0000, 0.5000], [0.0000, 0.5000, 0.0000], [0.5000, 0.0000, 0.0000], [0.5000, 0.5000, 0.5000]]
}

#Q
{
  "formula": "HfGa3Te",
  "functional": "GGA-PBE",
  "state": "relaxed",
  "sg": "Pm-3m",
  "cell": [[5.2149, 0.0000, 0.0000], [0.0000, 5.2149, 0.0000], [0.0000, 0.0000, 5.2149]],
  "species": ["Hf", "Ga", "Ga", "Ga", "Te"],
  "frac_coords": [[0.0000, 0.0000, 0.0000], [0.0000, 0.5000, 0.5000], [0.5000, 0.0000, 0.5000], [0.5000, 0.5000, 0.0000], [0.5000, 0.5000, 0.5000]]
}

Which structure wins on stability? #P wins.

#P
{
  "formula": "Hf2TiGa2",
  "functional": "GGA-PBE",
  "state": "relaxed",
  "sg": "Immm",
  "cell": [[-1.9697, 2.8786, 4.1069], [1.9697, -2.8786, 4.1069], [1.9697, 2.8786, -4.1069]],
  "species": ["Hf", "Hf", "Ti", "Ga", "Ga"],
  "frac_coords": [[0.2039, 0.2039, 0.0000], [0.7961, 0.7961, 0.0000], [0.5000, 0.0000, 0.5000], [0.2178, 0.5000, 0.7178], [0.7822, 0.5000, 0.2822]]
}

#Q
{
  "formula": "Hf2TiGa2",
  "functional": "GGA-PBE",
  "state": "relaxed",
  "sg": "I4/mmm",
  "cell": [[-1.9845, 1.9845, 6.2289], [1.9845, -1.9845, 6.2289], [1.9845, 1.9845, -6.2289]],
  "species": ["Hf", "Hf", "Ti", "Ga", "Ga"],
  "frac_coords": [[0.2500, 0.7500, 0.5000], [0.7500, 0.2500, 0.5000], [0.0000, 0.0000, 0.0000], [0.4068, 0.4068, 0.0000], [0.5932, 0.5932, 0.0000]]
}

#R
{
  "formula": "Hf2TiGa2",
  "functional": "GGA-PBE",
  "state": "relaxed",
  "sg": "P4/mbm",
  "cell": [[7.0156, 0.0000, 0.0000], [0.0000, 7.0156, 0.0000], [0.0000, 0.0000, 3.7748]],
  "species": ["Hf", "Hf", "Hf", "Hf", "Ti", "Ti", "Ga", "Ga", "Ga", "Ga"],
  "frac_coords": [[0.1754, 0.3246, 0.0000], [0.3246, 0.8246, 0.0000], [0.6754, 0.1754, 0.0000], [0.8246, 0.6754, 0.0000], [0.0000, 0.0000, 0.5000], [0.5000, 0.5000, 0.5000], [0.1274, 0.6274, 0.5000], [0.3726, 0.1274, 0.5000], [0.6274, 0.8726, 0.5000], [0.8726, 0.3726, 0.5000]]
}

Which structure wins on stability? #R wins.

#P
{
  "formula": "HfTi5Ga6",
  "functional": "GGA-PBE",
  "state": "relaxed",
  "sg": "Immm",
  "cell": [[-2.4136, 2.8173, 7.2492], [2.4136, -2.8173, 7.2492], [2.4136, 2.8173, -7.2492]],
  "species": ["Hf", "Ti", "Ti", "Ti", "Ti", "Ti", "Ga", "Ga", "Ga", "Ga", "Ga", "Ga"],
  "frac_coords": [[0.0000, 0.0000, 0.0000], [0.1626, 0.6626, 0.5000], [0.3340, 0.3340, 0.0000], [0.5000, 0.0000, 0.5000], [0.6660, 0.6660, 0.0000], [0.8374, 0.3374, 0.5000], [0.0845, 0.8290, 0.2556], [0.2621, 0.5000, 0.7621], [0.4266, 0.1710, 0.2556], [0.5734, 0.8290, 0.7444], [0.7379, 0.5000, 0.2379], [0.9155, 0.1710, 0.7444]]
}

#Q
{
  "formula": "HfTi5Ga6",
  "functional": "GGA-PBE",
  "state": "relaxed",
  "sg": "C2/m",
  "cell": [[6.3719, -3.9859, 0.0000], [6.3719, 3.9859, 0.0000], [-1.2629, 0.0000, 3.8224]],
  "species": ["Hf", "Ti", "Ti", "Ti", "Ti", "Ti", "Ga", "Ga", "Ga", "Ga", "Ga", "Ga"],
  "frac_coords": [[0.0000, 0.0000, 0.0000], [0.1706, 0.1706, 0.6706], [0.3332, 0.3332, 0.3332], [0.5000, 0.5000, 0.0000], [0.6668, 0.6668, 0.6669], [0.8294, 0.8294, 0.3294], [0.0836, 0.5792, 0.8314], [0.2549, 0.7451, 0.5000], [0.4208, 0.9164, 0.1686], [0.5792, 0.0836, 0.8314], [0.7451, 0.2549, 0.5000], [0.9164, 0.4208, 0.1686]]
}

Which structure wins on stability? #Q wins.